Here is a relaxed structure of PuTh2In from Alexandria. Energies are from PBE.

Values from the calculation:
E_form = -0.0270 eV/atom
V = 115.4 Å³/cell
Crystal system = tetragonal
Distance to the lowest polymorph of the same formula = 0.092 eV/atom
Calculated total energy = -8.00 eV per atom
DOS at the Fermi energy = 10.67 states/eV per cell

a = 4.032 Å, b = 4.032 Å, c = 7.097 Å
α = 90.00°, β = 90.00°, γ = 90.00°
Sites, in units of the cell vectors:
In  0.500  0.500  0.000
Th  0.000  0.000  0.752
Th  0.000  0.000  0.248
Pu  0.500  0.500  0.500